{"formula": "Sb2AsPt", "functional": "PBE", "state": "optimized geometry", "formation_energy_uncorrected_ev_per_fu": 1.125, "dos_at_fermi_per_ev_cell": 1.57, "lattice_angstrom": [[0.000, 3.509, 3.509], [3.509, 0.000, 3.509], [3.509, 3.509, 0.000]], "species": ["Sb", "Sb", "As", "Pt"], "fractional_positions": [[0.000, 0.000, 0.000], [0.250, 0.250, 0.250], [0.500, 0.500, 0.500], [0.750, 0.750, 0.750]]}